Entry 1:
The following is a PBE calculation of an optimized crystal structure of Al3ZnGa2, from the Alexandria database.

```
12
Lattice="-0.026 -4.464 3.497 3.506 -2.220 -2.808 4.894 5.421 2.359" Properties=species:S:1:pos:R:3 pbc="T T T"
Ga 1.918 -0.797 2.408
Ga 4.710 1.796 1.142
Ga 3.664 -3.059 1.908
Ga 6.456 -0.466 0.641
Al 2.620 -3.334 -0.798
Al 0.860 -3.350 1.488
Al 6.470 -2.688 2.372
Al 1.904 1.425 0.677
Al 3.651 -0.808 0.153
Al 4.724 -0.455 2.896
Zn 0.873 -1.092 -0.281
Zn 2.606 -5.592 0.971
```

Values from the calculation:
total energy = -3.053 eV/atom
N(E_F) = 2.1 states/eV/f.u.
size of the total moment = 0.000 μB per formula unit

=====

Entry 2:
The following is a PBE calculation of an optimized crystal structure of Nd2YHo8, from the Alexandria database.

```
11
Lattice="-2.811 2.519 -4.530 -1.320 -4.113 -7.956 -7.636 -5.012 -1.293" Properties=species:S:1:pos:R:3 pbc="T T T"
Ho -4.222 0.509 -4.816
Ho -8.615 -3.129 -7.358
Ho -5.619 -4.079 -9.107
Ho -1.399 -1.023 -4.761
Ho -2.731 -0.571 -7.725
Ho -3.151 -3.477 -6.421
Ho -7.544 -7.115 -8.963
Ho -6.147 -2.526 -4.672
Y -1.405 1.260 -2.265
Nd -3.351 -3.197 -2.942
Nd -5.605 -5.928 -6.307
```

Values from the calculation:
total energy = -4.628 eV/atom
N(E_F) = 14.8 states/eV/f.u.
size of the total moment = 0.000 μB per formula unit

=====

Entry 3:
The following is a PBE calculation of an optimized crystal structure of ScInOs2, from the Alexandria database.

```
4
Lattice="-4.190 -1.912 -1.625 -3.323 -3.493 0.779 -3.487 2.351 2.802" Properties=species:S:1:pos:R:3 pbc="T T T"
In -2.750 -0.764 0.489
Sc -8.250 -2.291 1.467
Os -5.410 -1.569 0.919
Os -0.090 0.041 0.060
```

Values from the calculation:
total energy = -7.711 eV/atom
N(E_F) = 4.1 states/eV/f.u.
size of the total moment = 0.000 μB per formula unit

=====

Entry 4:
The following is a PBE calculation of an optimized crystal structure of TaAuSN2, from the Alexandria database.

```
5
Lattice="-2.938 2.706 -0.125 -2.391 -2.677 -1.756 -1.522 -1.455 4.292" Properties=species:S:1:pos:R:3 pbc="T T T"
N -1.196 -1.339 -0.878
N -1.469 1.353 -0.062
Au 0.000 0.000 0.000
S -0.761 -0.728 2.146
Ta -3.426 -0.713 1.206
```

Values from the calculation:
total energy = -5.318 eV/atom
N(E_F) = 3.0 states/eV/f.u.
uncorrected formation energy = 9.318 eV/f.u.
size of the total moment = 0.223 μB per formula unit

=====

Entry 5:
The following is a PBE calculation of an optimized crystal structure of ZrIr2Cl, from the Alexandria database.

```
4
Lattice="4.528 0.024 -0.020 3.142 3.260 -0.020 0.880 0.377 7.316" Properties=species:S:1:pos:R:3 pbc="T T T"
Ir 6.854 2.935 5.698
Ir 1.427 0.611 6.021
Cl 0.971 0.416 2.311
Zr 4.454 1.907 4.198
```

Values from the calculation:
total energy = -7.340 eV/atom
N(E_F) = 3.3 states/eV/f.u.
uncorrected formation energy = -1.241 eV/f.u.
size of the total moment = 0.000 μB per formula unit

=====

Entry 6:
The following is a PBE calculation of an optimized crystal structure of Cs2B2Sb, from the Alexandria database.

```
5
Lattice="3.226 0.000 0.000 0.000 3.226 0.000 1.613 1.613 12.384" Properties=species:S:1:pos:R:3 pbc="T T T"
Sb 0.000 0.000 0.000
B 1.613 3.226 6.192
B 3.226 1.613 6.192
Cs 3.226 3.226 9.310
Cs 1.613 1.613 3.073
```

Values from the calculation:
total energy = -2.725 eV/atom
N(E_F) = 2.4 states/eV/f.u.
uncorrected formation energy = 5.560 eV/f.u.
size of the total moment = 0.000 μB per formula unit

=====

Q: Among the records above, which one has the highest size of the total moment?
A: TaAuSN2

=====

Q: Number 1 is which compound?
A: Al3ZnGa2

=====

Q: What is the total energy in the fourth record?
A: -5.318 eV/atom

=====

Q: N(E_F) of number 5 (ZrIr2Cl)?
A: 3.3 states/eV/f.u.